CsBe2N2: relaxed, GGA-PBE.

Properties
Energy relative to the lowest polymorph listed for this composition: 0 meV/atom
Raw formation energy: -0.079 eV/atom

```
data_CsBe2N2
_chemical_formula_sum 'Cs2 Be4 N4'
_symmetry_space_group_name_H-M 'I 4/m m m'
_symmetry_Int_Tables_number 139
_symmetry_space_group_name_Hall '-I 4 2'
_cell_length_a 3.542
_cell_length_b 3.542
_cell_length_c 11.726
_cell_angle_alpha 90.00
_cell_angle_beta 90.00
_cell_angle_gamma 90.00
loop_
_atom_site_label
_atom_site_type_symbol
_atom_site_fract_x
_atom_site_fract_y
_atom_site_fract_z
Cs1 Cs 0.000 0.000 0.000
Be1 Be 0.000 0.000 0.258
N1 N 0.000 0.500 0.250
```

***

SrAsSe: relaxed, GGA-PBE.

Properties
Raw formation energy: -0.742 eV/atom

```
data_SrAsSe
_chemical_formula_sum 'Sr1 As1 Se1'
_symmetry_space_group_name_H-M 'P -6 m 2'
_symmetry_Int_Tables_number 187
_symmetry_space_group_name_Hall 'P -6 2'
_cell_length_a 4.7387
_cell_length_b 4.7387
_cell_length_c 4.1241
_cell_angle_alpha 90.00
_cell_angle_beta 90.00
_cell_angle_gamma 120.00
loop_
_atom_site_label
_atom_site_type_symbol
_atom_site_fract_x
_atom_site_fract_y
_atom_site_fract_z
Sr1 Sr 0.0000 0.0000 0.0000
As1 As 0.6667 0.3333 0.5000
Se1 Se 0.3333 0.6667 0.5000
```

***

Cs2HfTa3O12: relaxed, GGA-PBE.

Properties
Raw formation energy: -2.482 eV/atom

```
data_Cs2HfTa3O12
_chemical_formula_sum 'Cs6 Hf3 Ta9 O36'
_symmetry_space_group_name_H-M 'R -3 m'
_symmetry_Int_Tables_number 166
_symmetry_space_group_name_Hall '-R 3 2"'
_cell_length_a 7.5681
_cell_length_b 7.5681
_cell_length_c 18.6692
_cell_angle_alpha 90.00
_cell_angle_beta 90.00
_cell_angle_gamma 120.00
loop_
_atom_site_label
_atom_site_type_symbol
_atom_site_fract_x
_atom_site_fract_y
_atom_site_fract_z
Cs1 Cs 0.0000 0.0000 0.1234
Hf1 Hf 0.0000 0.0000 0.5000
Ta1 Ta 0.0000 0.5000 0.0000
O1 O 0.0738 0.5369 0.1028
O2 O 0.0848 0.5424 0.3513
```